Record 1
The following is a SCAN calculation of a PBEsol-optimized structure of NdGe2Rh, from the Alexandria database.

Lattice parameters (Å, degrees): 4.175 5.793 6.699 90.00 90.00 111.12
Positions (direct):
Rh1 0.801 0.603 0.250
Ge1 0.352 0.703 0.453
Ge2 0.352 0.703 0.047
Ge3 0.648 0.297 0.953
Ge4 0.648 0.297 0.547
Nd1 0.075 0.150 0.250
Rh2 0.199 0.397 0.750
Nd2 0.925 0.850 0.750

## Properties
M_tot, μB/cell: 0.0

---

Record 2
The following is a SCAN calculation of a PBEsol-optimized structure of Nd3Ge2Rh2, from the Alexandria database.

Lattice parameters (Å, degrees): 5.645 7.942 13.309 90.00 90.00 90.00
Positions (direct):
Ge1 0.651 0.250 0.500
Ge2 0.143 0.396 0.750
Nd1 0.143 0.109 0.600
Nd2 0.857 0.609 0.900
Nd3 0.857 0.891 0.400
Ge3 0.349 0.750 0.000
Ge4 0.349 0.750 0.500
Ge5 0.143 0.104 0.250
Ge6 0.857 0.896 0.750
Nd4 0.143 0.109 0.900
Rh1 0.378 0.462 0.909
Nd5 0.857 0.609 0.600
Rh2 0.622 0.962 0.591
Rh3 0.622 0.962 0.909
Rh4 0.378 0.038 0.091
Nd6 0.362 0.749 0.750
Nd7 0.143 0.391 0.400
Ge7 0.651 0.250 0.000
Rh5 0.622 0.538 0.091
Nd8 0.143 0.391 0.100
Ge8 0.857 0.604 0.250
Nd9 0.638 0.249 0.750
Rh6 0.622 0.538 0.409
Nd10 0.362 0.751 0.250
Rh7 0.378 0.462 0.591
Nd11 0.638 0.251 0.250
Rh8 0.378 0.038 0.409
Nd12 0.857 0.891 0.100

## Properties
M_tot, μB/cell: 0.0

---

Record 3
The following is a SCAN calculation of a PBEsol-optimized structure of NdGe2Ru2, from the Alexandria database.

Lattice parameters (Å, degrees): 4.231 4.231 5.808 111.36 111.36 90.00
Positions (direct):
Ge1 0.368 0.368 0.737
Nd1 0.000 0.000 0.000
Ru1 0.250 0.750 0.500
Ru2 0.750 0.250 0.500
Ge2 0.632 0.632 0.263

## Properties
M_tot, μB/cell: 0.0

---

ΔE_f for every record listed, in sequence, given in eV per atom: -0.900 -0.982 -0.798.